No. 1
This record from Alexandria describes an optimized crystal structure of AcPm4Pr10. The functional is PBE.

Output
Calculated volume, Å³ per atom: 39.54
Symmetry: I4/m

Cell: 9.828 9.828 9.828 Å, 97.38 97.38 137.99°
Element x y z (fractional)
Ac 0.000 0.000 0.000
Pm 0.322 0.567 0.889
Pm 0.433 0.322 0.754
Pm 0.567 0.678 0.246
Pm 0.678 0.433 0.111
Pr 0.044 0.882 0.422
Pr 0.118 0.540 0.163
Pr 0.250 0.750 0.500
Pr 0.378 0.956 0.837
Pr 0.460 0.622 0.578
Pr 0.540 0.378 0.422
Pr 0.622 0.044 0.163
Pr 0.750 0.250 0.500
Pr 0.882 0.460 0.837
Pr 0.956 0.118 0.578

---

No. 2
This record from Alexandria describes an optimized crystal structure of Ac12PmPr3. The functional is PBE.

Output
Calculated volume, Å³ per atom: 42.56
Symmetry: P4/mmm

Cell: 5.548 5.548 22.121 Å, 90.00 90.00 90.00°
Element x y z (fractional)
Ac 0.000 0.000 0.000
Ac 0.000 0.000 0.249
Ac 0.000 0.000 0.500
Ac 0.000 0.000 0.751
Ac 0.000 0.500 0.124
Ac 0.000 0.500 0.375
Ac 0.000 0.500 0.625
Ac 0.000 0.500 0.876
Ac 0.500 0.000 0.124
Ac 0.500 0.000 0.375
Ac 0.500 0.000 0.625
Ac 0.500 0.000 0.876
Pm 0.500 0.500 0.000
Pr 0.500 0.500 0.249
Pr 0.500 0.500 0.500
Pr 0.500 0.500 0.751

---

No. 3
This record from Alexandria describes an optimized crystal structure of AcPm8Pr6. The functional is PBE.

Output
Calculated volume, Å³ per atom: 36.20
Symmetry: R-3

Cell: 8.803 8.803 8.803 Å, 65.80 65.80 65.80°
Element x y z (fractional)
Ac 0.000 0.000 0.000
Pm 0.082 0.649 0.774
Pm 0.226 0.918 0.351
Pm 0.351 0.226 0.918
Pm 0.429 0.429 0.429
Pm 0.571 0.571 0.571
Pm 0.649 0.774 0.082
Pm 0.774 0.082 0.649
Pm 0.918 0.351 0.226
Pr 0.106 0.270 0.552
Pr 0.270 0.552 0.106
Pr 0.448 0.894 0.730
Pr 0.552 0.106 0.270
Pr 0.730 0.448 0.894
Pr 0.894 0.730 0.448

---

No. 4
This record from Alexandria describes an optimized crystal structure of Ac6PmPr. The functional is PBE.

Output
Calculated volume, Å³ per atom: 42.33
Symmetry: P4/mmm

Cell: 5.531 5.531 11.069 Å, 90.00 90.00 90.00°
Element x y z (fractional)
Ac 0.000 0.000 0.000
Ac 0.000 0.000 0.500
Ac 0.000 0.500 0.249
Ac 0.000 0.500 0.751
Ac 0.500 0.000 0.249
Ac 0.500 0.000 0.751
Pm 0.500 0.500 0.000
Pr 0.500 0.500 0.500

---

No. 5
This record from Alexandria describes an optimized crystal structure of Ac2Pm3Pr6. The functional is PBE.

Output
Calculated volume, Å³ per atom: 38.17
Symmetry: I4/mmm

Cell: 17.304 17.304 17.304 Å, 163.46 163.46 23.47°
Element x y z (fractional)
Ac 0.066 0.066 0.000
Ac 0.934 0.934 0.000
Pm 0.406 0.406 0.000
Pm 0.500 0.500 0.000
Pm 0.594 0.594 0.000
Pr 0.168 0.668 0.500
Pr 0.250 0.250 0.000
Pr 0.332 0.832 0.500
Pr 0.668 0.168 0.500
Pr 0.750 0.750 0.000
Pr 0.832 0.332 0.500

---

No. 6
This record from Alexandria describes an optimized crystal structure of Ac12PmPr7. The functional is PBE.

Output
Calculated volume, Å³ per atom: 42.58
Symmetry: R-3

Cell: 12.299 12.299 12.299 Å, 116.76 116.76 116.76°
Element x y z (fractional)
Ac 0.001 0.588 0.412
Ac 0.070 0.070 0.418
Ac 0.070 0.418 0.070
Ac 0.412 0.001 0.588
Ac 0.412 0.588 0.999
Ac 0.418 0.070 0.070
Ac 0.582 0.930 0.930
Ac 0.588 0.412 0.001
Ac 0.588 0.999 0.412
Ac 0.930 0.582 0.930
Ac 0.930 0.930 0.582
Ac 0.999 0.412 0.588
Pm 0.500 0.500 0.500
Pr 0.000 0.000 0.000
Pr 0.143 0.388 0.388
Pr 0.388 0.143 0.388
Pr 0.388 0.388 0.143
Pr 0.612 0.612 0.857
Pr 0.612 0.857 0.612
Pr 0.857 0.612 0.612

---

No. 7
This record from Alexandria describes an optimized crystal structure of AcPm2Pr6. The functional is PBE.

Output
Calculated volume, Å³ per atom: 42.47
Symmetry: P4_2/mnm

Cell: 6.447 6.447 18.394 Å, 90.00 90.00 90.00°
Element x y z (fractional)
Ac 0.000 0.000 0.000
Ac 0.500 0.500 0.500
Pm 0.000 0.000 0.341
Pm 0.000 0.000 0.659
Pm 0.500 0.500 0.159
Pm 0.500 0.500 0.841
Pr 0.166 0.166 0.500
Pr 0.176 0.176 0.176
Pr 0.176 0.176 0.824
Pr 0.324 0.676 0.324
Pr 0.324 0.676 0.676
Pr 0.334 0.666 0.000
Pr 0.666 0.334 0.000
Pr 0.676 0.324 0.324
Pr 0.676 0.324 0.676
Pr 0.824 0.824 0.176
Pr 0.824 0.824 0.824
Pr 0.834 0.834 0.500

---

No. 8
This record from Alexandria describes an optimized crystal structure of Ac5Pm4Pr4. The functional is PBE.

Output
Calculated volume, Å³ per atom: 38.96
Symmetry: I4/m

Cell: 10.084 10.084 10.084 Å, 94.05 94.05 149.18°
Element x y z (fractional)
Ac 0.000 0.000 0.000
Ac 0.303 0.538 0.841
Ac 0.462 0.303 0.764
Ac 0.538 0.697 0.236
Ac 0.697 0.462 0.159
Pm 0.157 0.766 0.922
Pm 0.234 0.157 0.391
Pm 0.766 0.843 0.609
Pm 0.843 0.234 0.078
Pr 0.074 0.386 0.460
Pr 0.386 0.926 0.312
Pr 0.614 0.074 0.688
Pr 0.926 0.614 0.540

---

No. 9
This record from Alexandria describes an optimized crystal structure of Ac8PmPr6. The functional is PBE.

Output
Calculated volume, Å³ per atom: 43.30
Symmetry: R-3

Cell: 9.299 9.299 9.299 Å, 66.61 66.61 66.61°
Element x y z (fractional)
Ac 0.089 0.364 0.676
Ac 0.235 0.235 0.235
Ac 0.324 0.911 0.636
Ac 0.364 0.676 0.089
Ac 0.636 0.324 0.911
Ac 0.676 0.089 0.364
Ac 0.765 0.765 0.765
Ac 0.911 0.636 0.324
Pm 0.500 0.500 0.500
Pr 0.128 0.823 0.435
Pr 0.177 0.565 0.872
Pr 0.435 0.128 0.823
Pr 0.565 0.872 0.177
Pr 0.823 0.435 0.128
Pr 0.872 0.177 0.565

---

No. 10
This record from Alexandria describes an optimized crystal structure of AcPmPr6. The functional is PBE.

Output
Calculated volume, Å³ per atom: 36.93
Symmetry: P4/mmm

Cell: 5.283 5.283 10.586 Å, 90.00 90.00 90.00°
Element x y z (fractional)
Ac 0.000 0.000 0.000
Pm 0.000 0.000 0.500
Pr 0.000 0.500 0.256
Pr 0.000 0.500 0.744
Pr 0.500 0.000 0.256
Pr 0.500 0.000 0.744
Pr 0.500 0.500 0.000
Pr 0.500 0.500 0.500

---

No. 11
This record from Alexandria describes an optimized crystal structure of Ac4Pm3Pr5. The functional is PBE.

Output
Calculated volume, Å³ per atom: 39.31
Symmetry: C2/m

Cell: 9.093 9.093 9.930 Å, 116.28 116.28 40.68°
Element x y z (fractional)
Ac 0.082 0.082 0.429
Ac 0.213 0.213 0.872
Ac 0.787 0.787 0.128
Ac 0.918 0.918 0.571
Pm 0.000 0.000 0.000
Pm 0.329 0.329 0.613
Pm 0.671 0.671 0.387
Pr 0.212 0.212 0.230
Pr 0.426 0.426 0.301
Pr 0.500 0.500 0.000
Pr 0.574 0.574 0.699
Pr 0.788 0.788 0.770

---

No. 12
This record from Alexandria describes an optimized crystal structure of Ac6Pm2Pr3. The functional is PBE.

Output
Calculated volume, Å³ per atom: 42.62
Symmetry: C2/m

Cell: 6.713 6.713 12.231 Å, 95.27 95.27 120.08°
Element x y z (fractional)
Ac 0.081 0.413 0.243
Ac 0.251 0.251 0.757
Ac 0.413 0.081 0.243
Ac 0.587 0.919 0.757
Ac 0.749 0.749 0.243
Ac 0.919 0.587 0.757
Pm 0.333 0.667 0.000
Pm 0.667 0.333 0.000
Pr 0.166 0.834 0.500
Pr 0.500 0.500 0.500
Pr 0.834 0.166 0.500

---

No. 13
This record from Alexandria describes an optimized crystal structure of AcPmPr5. The functional is PBE.

Output
Calculated volume, Å³ per atom: 37.62
Symmetry: C2/c

Cell: 6.853 6.853 11.962 Å, 102.45 102.45 97.30°
Element x y z (fractional)
Ac 0.000 0.500 0.000
Ac 0.500 0.000 0.500
Pm 0.243 0.757 0.750
Pm 0.757 0.243 0.250
Pr 0.053 0.194 0.667
Pr 0.194 0.053 0.167
Pr 0.224 0.431 0.465
Pr 0.416 0.584 0.250
Pr 0.431 0.224 0.965
Pr 0.569 0.776 0.035
Pr 0.584 0.416 0.750
Pr 0.776 0.569 0.535
Pr 0.806 0.947 0.833
Pr 0.947 0.806 0.333

---

No. 14
This record from Alexandria describes an optimized crystal structure of Ac2PmPr9. The functional is PBE.

Output
Calculated volume, Å³ per atom: 37.34
Symmetry: P4/mmm

Cell: 6.238 6.238 11.518 Å, 90.00 90.00 90.00°
Element x y z (fractional)
Ac 0.000 0.000 0.171
Ac 0.000 0.000 0.829
Pm 0.000 0.000 0.500
Pr 0.000 0.500 0.000
Pr 0.000 0.500 0.341
Pr 0.000 0.500 0.659
Pr 0.500 0.000 0.000
Pr 0.500 0.000 0.341
Pr 0.500 0.000 0.659
Pr 0.500 0.500 0.164
Pr 0.500 0.500 0.500
Pr 0.500 0.500 0.836

---

No. 15
This record from Alexandria describes an optimized crystal structure of Ac2Pm12Pr5. The functional is PBE.

Output
Calculated volume, Å³ per atom: 36.14
Symmetry: C2/m

Cell: 11.032 11.032 6.366 Å, 101.31 101.31 65.70°
Element x y z (fractional)
Ac 0.223 0.777 0.000
Ac 0.777 0.223 0.000
Pm 0.050 0.544 0.796
Pm 0.129 0.129 0.986
Pm 0.148 0.645 0.394
Pm 0.355 0.852 0.606
Pm 0.443 0.443 0.716
Pm 0.456 0.950 0.204
Pm 0.544 0.050 0.796
Pm 0.557 0.557 0.284
Pm 0.645 0.148 0.394
Pm 0.852 0.355 0.606
Pm 0.871 0.871 0.014
Pm 0.950 0.456 0.204
Pr 0.000 0.000 0.500
Pr 0.216 0.216 0.543
Pr 0.329 0.329 0.142
Pr 0.671 0.671 0.858
Pr 0.784 0.784 0.457

---

No. 16
This record from Alexandria describes an optimized crystal structure of Ac2Pm3Pr. The functional is PBE.

Output
Calculated volume, Å³ per atom: 39.18
Symmetry: C2/m

Cell: 10.620 10.620 12.467 Å, 92.93 92.93 19.56°
Element x y z (fractional)
Ac 0.125 0.125 0.126
Ac 0.373 0.373 0.372
Ac 0.627 0.627 0.628
Ac 0.875 0.875 0.874
Pm 0.049 0.049 0.856
Pm 0.202 0.202 0.397
Pm 0.298 0.298 0.103
Pm 0.702 0.702 0.897
Pm 0.798 0.798 0.603
Pm 0.951 0.951 0.144
Pr 0.452 0.452 0.644
Pr 0.548 0.548 0.356

---

No. 17
This record from Alexandria describes an optimized crystal structure of Ac3Pm8Pr. The functional is PBE.

Output
Calculated volume, Å³ per atom: 39.41
Symmetry: Immm

Cell: 9.064 9.064 9.064 Å, 136.92 99.31 96.19°
Element x y z (fractional)
Ac 0.000 0.000 0.000
Ac 0.254 0.500 0.754
Ac 0.746 0.500 0.246
Pm 0.076 0.824 0.252
Pm 0.258 0.012 0.755
Pm 0.258 0.503 0.245
Pm 0.428 0.176 0.252
Pm 0.572 0.824 0.748
Pm 0.742 0.497 0.755
Pm 0.742 0.988 0.245
Pm 0.924 0.176 0.748
Pr 0.500 0.000 0.500

---

No. 18
This record from Alexandria describes an optimized crystal structure of Ac2Pm5Pr4. The functional is PBE.

Output
Calculated volume, Å³ per atom: 37.61
Symmetry: C2/m

Cell: 12.738 12.738 9.563 Å, 111.73 111.73 16.71°
Element x y z (fractional)
Ac 0.113 0.113 0.427
Ac 0.887 0.887 0.573
Pm 0.130 0.130 0.071
Pm 0.268 0.268 0.665
Pm 0.500 0.500 0.000
Pm 0.732 0.732 0.335
Pm 0.870 0.870 0.929
Pr 0.043 0.043 0.710
Pr 0.316 0.316 0.164
Pr 0.684 0.684 0.836
Pr 0.957 0.957 0.290

---

No. 19
This record from Alexandria describes an optimized crystal structure of Ac3Pm5Pr4. The functional is PBE.

Output
Calculated volume, Å³ per atom: 37.57
Symmetry: P-1

Cell: 6.522 7.542 9.165 Å, 90.21 90.09 90.00°
Element x y z (fractional)
Ac 0.000 0.000 0.000
Ac 0.500 0.253 0.000
Ac 0.500 0.747 0.000
Pm 0.000 0.500 0.000
Pm 0.167 0.251 0.337
Pm 0.334 0.000 0.660
Pm 0.666 0.000 0.340
Pm 0.833 0.749 0.663
Pr 0.166 0.749 0.338
Pr 0.329 0.500 0.662
Pr 0.671 0.500 0.338
Pr 0.834 0.251 0.662

---

Number 1: energy -64.066 eV for the cell shown. Number 2: energy -68.072 eV for the cell shown. Number 3: energy -68.645 eV for the cell shown. Number 4: energy -34.018 eV for the cell shown. Number 5: energy -49.438 eV for the cell shown. Number 6: energy -83.828 eV for the cell shown. Number 7: energy -70.724 eV for the cell shown. Number 8: energy -58.196 eV for the cell shown. Number 9: energy -62.992 eV for the cell shown. Number 10: energy -37.400 eV for the cell shown. Number 11: energy -52.312 eV for the cell shown. Number 12: energy -46.540 eV for the cell shown. Number 13: energy -64.394 eV for the cell shown. Number 14: energy -54.690 eV for the cell shown. Number 15: energy -87.204 eV for the cell shown. Number 16: energy -51.969 eV for the cell shown. Number 17: energy -52.322 eV for the cell shown. Number 18: energy -49.749 eV for the cell shown. Number 19: energy -54.839 eV for the cell shown.